No. 1
{"formula": "LaPrAsSe", "functional": "PBE", "state": "optimized geometry", "n_ef_per_ev_fu": 1.840, "formation_energy_uncorrected_ev_per_fu": -7.15, "vol_a3_per_atom": 28.5, "crystal_system": "trigonal", "cell": [[2.156, 1.245, 7.080], [-2.156, 1.245, 7.080], [0.000, -2.490, 7.080]], "species": ["La", "Pr", "As", "Se"], "fractional_positions": [[0.000, 0.000, 0.000], [0.506, 0.506, 0.506], [0.253, 0.253, 0.253], [0.754, 0.754, 0.754]]}



No. 2
{"formula": "ZrNiMo", "functional": "PBE", "state": "optimized geometry", "n_ef_per_ev_fu": 2.359, "ef_ev_per_atom": 0.000, "vol_a3_per_atom": 16.1, "crystal_system": "tetragonal", "cell": [[-1.404, 1.404, 6.114], [1.404, -1.404, 6.114], [1.404, 1.404, -6.114]], "species": ["Zr", "Ni", "Mo"], "fractional_positions": [[0.000, 0.000, 0.000], [0.666, 0.666, 0.000], [0.306, 0.306, 0.000]]}